(1)
Computed, not measured: an optimized crystal structure of Cs2TmMg2Se4 at the PBE level of DFT.

CIF file:
```
data_Cs2TmMg2Se4
_chemical_formula_sum 'Cs4 Tm2 Mg4 Se8'
_cell_length_a 16.128
_cell_length_b 4.294
_cell_length_c 8.534
_cell_angle_alpha 90.00
_cell_angle_beta 106.91
_cell_angle_gamma 90.00
_symmetry_space_group_name_H-M 'C 1 2/m 1'
_symmetry_Int_Tables_number 12
loop_
_symmetry_equiv_pos_as_xyz
'x,y,z'
'-x,-y,-z'
'-x,y,-z'
'x,-y,z'
'x+1/2,y+1/2,z'
'-x+1/2,-y+1/2,-z'
'-x+1/2,y+1/2,-z'
'x+1/2,-y+1/2,z'
loop_
_atom_site_label
_atom_site_fract_x
_atom_site_fract_y
_atom_site_fract_z
_atom_site_occupancy
Cs1 0.127 0.000 0.040 1
Tm1 0.000 0.000 0.500 1
Mg1 0.172 0.500 0.477 1
Se1 0.018 0.500 0.282 1
Se2 0.197 0.000 0.660 1
```

***

(2)
# Li2LaCd2, optimized geometry, DFT PBE
data_Li2LaCd2
_chemical_formula_sum 'Li4 La2 Cd4'
_cell_length_a 4.190
_cell_length_b 4.190
_cell_length_c 14.100
_cell_angle_alpha 90.00
_cell_angle_beta 90.00
_cell_angle_gamma 90.00
_symmetry_space_group_name_H-M 'I 4/m m m'
_symmetry_Int_Tables_number 139
_symmetry_space_group_name_Hall '-I 4 2'
loop_
_atom_site_label
_atom_site_fract_x
_atom_site_fract_y
_atom_site_fract_z
_atom_site_occupancy
Li1 0.000 0.500 0.250 1
La1 0.000 0.000 0.000 1
Cd1 0.000 0.000 0.388 1
# - E_form (eV per atom) = -0.20

***

(3)
Computed, not measured: an optimized crystal structure of Na2PrDySe4 at the PBE level of DFT.

CIF file:
```
data_Na2PrDySe4
_chemical_formula_sum 'Na2 Pr1 Dy1 Se4'
_cell_length_a 7.331
_cell_length_b 4.231
_cell_length_c 7.433
_cell_angle_alpha 90.00
_cell_angle_beta 109.20
_cell_angle_gamma 90.00
_symmetry_space_group_name_H-M 'P 1 2/m 1'
_symmetry_Int_Tables_number 10
loop_
_symmetry_equiv_pos_as_xyz
'x,y,z'
'-x,-y,-z'
'-x,y,-z'
'x,-y,z'
loop_
_atom_site_label
_atom_site_fract_x
_atom_site_fract_y
_atom_site_fract_z
_atom_site_occupancy
Na1 0.000 0.000 0.000 1
Na2 0.500 0.500 0.000 1
Pr1 0.000 0.500 0.500 1
Dy1 0.500 0.000 0.500 1
Se1 0.254 0.000 0.735 1
Se2 0.265 0.500 0.269 1
```

***

(4)
Computed, not measured: an optimized crystal structure of Pa3Si3Rh at the PBE level of DFT.

CIF file:
```
data_Pa3Si3Rh
_chemical_formula_sum 'Pa12 Si12 Rh4'
_cell_length_a 10.385
_cell_length_b 4.179
_cell_length_c 13.701
_cell_angle_alpha 90.00
_cell_angle_beta 108.86
_cell_angle_gamma 90.00
_symmetry_space_group_name_H-M 'C 1 2/m 1'
_symmetry_Int_Tables_number 12
loop_
_symmetry_equiv_pos_as_xyz
'x,y,z'
'-x,-y,-z'
'-x,y,-z'
'x,-y,z'
'x+1/2,y+1/2,z'
'-x+1/2,-y+1/2,-z'
'-x+1/2,y+1/2,-z'
'x+1/2,-y+1/2,z'
loop_
_atom_site_label
_atom_site_fract_x
_atom_site_fract_y
_atom_site_fract_z
_atom_site_occupancy
Pa1 0.030 0.000 0.377 1
Pa2 0.100 0.000 0.922 1
Pa3 0.250 0.000 0.229 1
Si1 0.034 0.500 0.229 1
Si2 0.118 0.500 0.077 1
Si3 0.128 0.500 0.542 1
Rh1 0.244 0.500 0.388 1
```

***

(5)
# BaLa2RuAu, optimized geometry, DFT PBE
data_BaLa2RuAu
_chemical_formula_sum 'Ba1 La2 Ru1 Au1'
_cell_length_a 5.322
_cell_length_b 5.322
_cell_length_c 5.725
_cell_angle_alpha 90.00
_cell_angle_beta 90.00
_cell_angle_gamma 90.00
_symmetry_space_group_name_H-M 'P 4/m m m'
_symmetry_Int_Tables_number 123
_symmetry_space_group_name_Hall '-P 4 2'
loop_
_atom_site_label
_atom_site_fract_x
_atom_site_fract_y
_atom_site_fract_z
_atom_site_occupancy
Ba1 0.000 0.000 0.000 1
La1 0.000 0.500 0.500 1
Ru1 0.500 0.500 0.500 1
Au1 0.500 0.500 0.000 1
# - E_form (eV per atom) = -0.19

***

(6)
# CsCdSn2, optimized geometry, DFT PBE
data_CsCdSn2
_chemical_formula_sum 'Cs1 Cd1 Sn2'
_cell_length_a 3.969
_cell_length_b 3.969
_cell_length_c 8.578
_cell_angle_alpha 90.00
_cell_angle_beta 90.00
_cell_angle_gamma 90.00
_symmetry_space_group_name_H-M 'P 4/m m m'
_symmetry_Int_Tables_number 123
_symmetry_space_group_name_Hall '-P 4 2'
loop_
_atom_site_label
_atom_site_fract_x
_atom_site_fract_y
_atom_site_fract_z
_atom_site_occupancy
Cs1 0.000 0.000 0.000 1
Cd1 0.000 0.000 0.500 1
Sn1 0.500 0.500 0.327 1
# - E_form (eV per atom) = -0.08

***

(7)
Computed, not measured: an optimized crystal structure of Sn5I at the PBE level of DFT.

CIF file:
```
data_Sn5I
_chemical_formula_sum 'Sn10 I2'
_cell_length_a 5.455
_cell_length_b 18.080
_cell_length_c 3.631
_cell_angle_alpha 90.00
_cell_angle_beta 90.00
_cell_angle_gamma 90.00
_symmetry_space_group_name_H-M 'C m m m'
_symmetry_Int_Tables_number 65
_symmetry_space_group_name_Hall '-C 2 2'
loop_
_atom_site_label
_atom_site_fract_x
_atom_site_fract_y
_atom_site_fract_z
_atom_site_occupancy
Sn1 0.000 0.000 0.000 1
Sn2 0.000 0.163 0.500 1
Sn3 0.000 0.310 0.000 1
I1 0.000 0.500 0.500 1
```

***

(8)
# Pd4Pt2Au3, optimized geometry, DFT PBE
data_Pd4Pt2Au3
_chemical_formula_sum 'Pd8 Pt4 Au6'
_cell_length_a 12.128
_cell_length_b 4.020
_cell_length_c 6.333
_cell_angle_alpha 90.00
_cell_angle_beta 108.45
_cell_angle_gamma 90.00
_symmetry_space_group_name_H-M 'C 1 2/m 1'
_symmetry_Int_Tables_number 12
loop_
_symmetry_equiv_pos_as_xyz
'x,y,z'
'-x,-y,-z'
'-x,y,-z'
'x,-y,z'
'x+1/2,y+1/2,z'
'-x+1/2,-y+1/2,-z'
'-x+1/2,y+1/2,-z'
'x+1/2,-y+1/2,z'
loop_
_atom_site_label
_atom_site_fract_x
_atom_site_fract_y
_atom_site_fract_z
_atom_site_occupancy
Pd1 0.055 0.000 0.331 1
Pd2 0.224 0.500 0.333 1
Pt1 0.169 0.000 0.004 1
Au1 0.000 0.500 0.000 1
Au2 0.112 0.500 0.663 1
# - E_form (eV per atom) = -0.02

***

Let's list VASP energy in order: -69.76; -23.17; -39.45; -227.00; -25.27; -10.09; -42.61; -85.72 eV/cell.